Density functional theory data (PBE+U) for a relaxed CoIO crystal.

The value obtained for the total moment is 2.60 μB/f.u. The crystal system is orthorhombic. The electronic total energy is -4.344 eV per atom.

The structure belongs to space group Pmmn (No. 59, origin choice 2); the cell edges are 3.279, 3.888 and 9.161 Å and the angles 90.00°, 90.00° and 90.00°. The distinct sites, in fractional coordinates, are Co at (0.250, 0.250, 0.079), I at (0.250, 0.750, 0.667) and O at (0.250, 0.750, 0.050).